# 1
## Ti4ZnSn2 (PBE-GGA)

Data for a geometry-optimized Ti4ZnSn2 structure.

Properties
Fermi-level density of states, states/eV/f.u.: 5.5
E, eV/atom: -6.00
Symmetry: P2_1/m, No. 11

a b c (Å): 5.0310 5.5433 9.8079
angles (deg): 90.00 110.15 90.00
Fractional positions:
Ti1 0.6266 0.4906 0.2833
Ti2 0.0395 0.7500 0.8769
Ti3 0.9605 0.2500 0.1231
Ti4 0.6266 0.0094 0.2833
Ti5 0.8176 0.2500 0.5666
Ti6 0.3734 0.9906 0.7167
Ti7 0.3734 0.5094 0.7167
Ti8 0.1824 0.7500 0.4334
Zn1 0.1518 0.7500 0.1684
Zn2 0.8482 0.2500 0.8316
Sn1 0.6305 0.7500 0.0073
Sn2 0.3695 0.2500 0.9927
Sn3 0.2203 0.2500 0.4226
Sn4 0.7797 0.7500 0.5774

---

# 2
## TiZnSn3 (PBE-GGA)

Data for a geometry-optimized TiZnSn3 structure.

Properties
Fermi-level density of states, states/eV/f.u.: 8.7
Offset from the most stable computed form, meV/atom: 428
Symmetry: Pm-3m, No. 221

a b c (Å): 5.1345 5.1345 5.1345
angles (deg): 90.00 90.00 90.00
Fractional positions:
Zn1 0.0000 0.0000 0.0000
Sn1 0.0000 0.5000 0.0000
Sn2 0.0000 0.0000 0.5000
Sn3 0.5000 0.0000 0.0000
Ti1 0.5000 0.5000 0.5000

---

# 3
## Ti5Zn2Sn2 (PBE-GGA)

Data for a geometry-optimized Ti5Zn2Sn2 structure.

Properties
Fermi-level density of states, states/eV/f.u.: 7.2
E, eV/atom: -5.68
Symmetry: Imma, No. 74

a b c (Å): 7.9088 5.2226 9.1695
angles (deg): 106.55 115.55 90.00
Last column: magnetic moment on the atom in μB.
Fractional positions:
Ti1 0.1542 0.6360 0.8084  -0.01
Ti2 0.8458 0.8276 0.1916  -0.01
Ti3 0.1542 0.1360 0.8084  -0.01
Ti4 0.8458 0.3276 0.1916  -0.01
Ti5 0.2739 0.1468 0.3301  0.39
Ti6 0.7261 0.8167 0.6699  0.39
Ti7 0.5561 0.6468 0.3301  0.39
Ti8 0.4439 0.3167 0.6699  0.39
Ti9 0.2627 0.7318 0.5000  -0.05
Ti10 0.7373 0.2318 0.5000  -0.05
Zn1 0.0000 0.9817 0.0000  0.00
Zn2 0.5000 0.4817 0.0000  0.00
Zn3 0.0742 0.2319 0.5000  0.00
Zn4 0.9258 0.7319 0.5000  0.00
Sn1 0.1665 0.5603 0.1571  0.00
Sn2 0.8335 0.4032 0.8429  0.00
Sn3 0.4906 0.0603 0.1571  0.00
Sn4 0.5094 0.9032 0.8429  0.00

---

# 4
## Ti3ZnSn (PBE-GGA)

Data for a geometry-optimized Ti3ZnSn structure.

Properties
Fermi-level density of states, states/eV/f.u.: 6.5
Offset from the most stable computed form, meV/atom: 992
Symmetry: Pm-3m, No. 221

a b c (Å): 5.0102 5.0102 5.0102
angles (deg): 90.00 90.00 90.00
Last column: magnetic moment on the atom in μB.
Fractional positions:
Zn1 0.5000 0.5000 0.5000  -0.01
Sn1 0.0000 0.0000 0.0000  0.00
Ti1 0.0000 0.5000 0.0000  0.06
Ti2 0.0000 0.0000 0.5000  0.10
Ti3 0.5000 0.0000 0.0000  0.10

---

# 5
## Ti7ZnSn3 (PBE-GGA)

Data for a geometry-optimized Ti7ZnSn3 structure.

Properties
Fermi-level density of states, states/eV/f.u.: 10.8
E, eV/atom: -6.21
Symmetry: Immm, No. 71

a b c (Å): 4.9866 7.0452 7.0452
angles (deg): 90.76 110.72 110.72
Last column: magnetic moment on the atom in μB.
Fractional positions:
Ti1 0.1945 0.1945 0.1945  0.32
Ti2 0.3312 0.0765 0.5857  0.69
Ti3 0.6688 0.4143 0.9235  0.69
Ti4 0.3312 0.5857 0.0765  0.69
Ti5 0.0000 0.5000 0.5000  -0.38
Ti6 0.6688 0.9235 0.4143  0.69
Ti7 0.8055 0.8055 0.8055  0.32
Zn1 0.5000 0.5000 0.5000  0.00
Sn1 0.0000 0.7702 0.2298  -0.03
Sn2 0.5000 0.0000 0.0000  -0.01
Sn3 0.0000 0.2298 0.7702  -0.03

---

# 6
## Ti6Zn2Sn (PBE-GGA)

Data for a geometry-optimized Ti6Zn2Sn structure.

Properties
Fermi-level density of states, states/eV/f.u.: 11.0
Offset from the most stable computed form, meV/atom: 119
Symmetry: C2/m, No. 12

a b c (Å): 2.8046 8.1850 8.1850
angles (deg): 57.68 80.05 80.05
Last column: magnetic moment on the atom in μB.
Fractional positions:
Ti1 0.1723 0.5129 0.1431  0.30
Ti2 0.8277 0.4871 0.8569  0.30
Ti3 0.8277 0.8569 0.4871  0.30
Ti4 0.0000 0.1651 0.8349  0.77
Ti5 0.0000 0.8349 0.1651  0.77
Ti6 0.1723 0.1431 0.5129  0.30
Zn1 0.3450 0.1532 0.1532  0.00
Zn2 0.6550 0.8468 0.8468  0.00
Sn1 0.5000 0.5000 0.5000  -0.01

---

# 7
## TiZnSn2 (PBE-GGA)

Data for a geometry-optimized TiZnSn2 structure.

Properties
Fermi-level density of states, states/eV/f.u.: 2.9
E, eV/atom: -4.08
Symmetry: I-42d, No. 122

a b c (Å): 7.6387 7.6387 6.1703
angles (deg): 51.76 51.76 90.00
Fractional positions:
Zn1 0.0000 0.0000 0.0000
Zn2 0.7500 0.2500 0.5000
Sn1 0.6453 0.1250 0.2500
Sn2 0.1047 0.6250 0.2500
Sn3 0.3750 0.3547 0.7500
Sn4 0.8750 0.8953 0.7500
Ti1 0.5000 0.5000 0.0000
Ti2 0.2500 0.7500 0.5000

---

# 8
## Ti5ZnSn2 (PBE-GGA)

Data for a geometry-optimized Ti5ZnSn2 structure.

Properties
Fermi-level density of states, states/eV/f.u.: 8.9
E, eV/atom: -5.92
Symmetry: Cmcm, No. 63

a b c (Å): 4.4862 6.9586 11.5022
angles (deg): 90.00 90.00 108.81
Fractional positions:
Ti1 0.8836 0.7671 0.8737
Ti2 0.8836 0.7671 0.6263
Ti3 0.3039 0.6078 0.4934
Ti4 0.3039 0.6078 0.0066
Ti5 0.6986 0.3971 0.2500
Ti6 0.3014 0.6029 0.7500
Ti7 0.6961 0.3922 0.5066
Ti8 0.6961 0.3922 0.9934
Ti9 0.1164 0.2329 0.1263
Ti10 0.1164 0.2329 0.3737
Zn1 0.6900 0.3800 0.7500
Zn2 0.3100 0.6200 0.2500
Sn1 0.9004 0.8007 0.3788
Sn2 0.9004 0.8007 0.1212
Sn3 0.0996 0.1993 0.6212
Sn4 0.0996 0.1993 0.8788

---

# 9
## TiZn3Sn (PBE-GGA)

Data for a geometry-optimized TiZn3Sn structure.

Properties
Fermi-level density of states, states/eV/f.u.: 4.3
Offset from the most stable computed form, meV/atom: 0
Symmetry: Pm-3m, No. 221

a b c (Å): 4.9873 4.9873 4.9873
angles (deg): 90.00 90.00 90.00
Last column: magnetic moment on the atom in μB.
Fractional positions:
Zn1 0.0000 0.5000 0.0000  0.04
Zn2 0.0000 0.0000 0.5000  0.01
Zn3 0.5000 0.0000 0.0000  0.10
Sn1 0.5000 0.5000 0.5000  -0.03
Ti1 0.0000 0.0000 0.0000  1.01

---

# 10
## Ti3Zn2Sn (PBE-GGA)

Data for a geometry-optimized Ti3Zn2Sn structure.

Properties
Fermi-level density of states, states/eV/f.u.: 7.0
E, eV/atom: -5.29
Symmetry: Cmmm, No. 65

a b c (Å): 4.0782 4.0465 12.1670
angles (deg): 90.00 90.00 90.00
Fractional positions:
Ti1 0.5000 0.5000 0.6701
Ti2 0.5000 0.0000 0.5000
Ti3 0.5000 0.5000 0.3299
Ti4 0.5000 0.0000 0.1701
Ti5 0.5000 0.5000 0.0000
Ti6 0.5000 0.0000 0.8299
Zn1 0.0000 0.0000 0.6735
Zn2 0.0000 0.0000 0.3265
Zn3 0.0000 0.5000 0.1735
Zn4 0.0000 0.5000 0.8265
Sn1 0.9999 0.5000 0.5000
Sn2 0.0001 0.0000 0.0000

---

# 11
## Ti8Zn2Sn3 (PBE-GGA)

Data for a geometry-optimized Ti8Zn2Sn3 structure.

Properties
Fermi-level density of states, states/eV/f.u.: 17.0
E, eV/atom: -5.91
Symmetry: R-3m, No. 166

a b c (Å): 5.4084 5.4084 10.3292
angles (deg): 74.82 74.82 60.00
Last column: magnetic moment on the atom in μB.
Fractional positions:
Ti1 0.7205 0.7205 0.8384  0.06
Ti2 0.2795 0.2795 0.1616  0.06
Ti3 0.2289 0.7270 0.3171  0.27
Ti4 0.7270 0.2289 0.3171  0.27
Ti5 0.7270 0.7270 0.3171  0.27
Ti6 0.2730 0.7711 0.6829  0.27
Ti7 0.7711 0.2730 0.6829  0.27
Ti8 0.2730 0.2730 0.6829  0.27
Zn1 0.6330 0.6330 0.1009  0.00
Zn2 0.3670 0.3670 0.8991  0.00
Sn1 0.0000 0.0000 0.0000  -0.01
Sn2 0.8113 0.8113 0.5661  -0.01
Sn3 0.1887 0.1887 0.4339  -0.01

---

# 12
## Ti8Zn2Sn (PBE-GGA)

Data for a geometry-optimized Ti8Zn2Sn structure.

Properties
Fermi-level density of states, states/eV/f.u.: 15.2
E, eV/atom: -6.36
Symmetry: C2/m, No. 12

a b c (Å): 5.1284 7.7270 7.7270
angles (deg): 38.71 80.55 80.55
Fractional positions:
Ti1 0.4568 0.3488 0.8474
Ti2 0.5432 0.1526 0.6512
Ti3 0.1002 0.7850 0.7850
Ti4 0.8998 0.2150 0.2150
Ti5 0.4568 0.8474 0.3488
Ti6 0.5432 0.6512 0.1526
Ti7 0.9827 0.5971 0.5971
Ti8 0.0173 0.4029 0.4029
Zn1 0.6233 0.7402 0.7402
Zn2 0.3767 0.2598 0.2598
Sn1 0.0000 0.0000 0.0000

---

# 13
## TiZnSn3 (PBE-GGA)

Data for a geometry-optimized TiZnSn3 structure.

Properties
Fermi-level density of states, states/eV/f.u.: 3.0
Offset from the most stable computed form, meV/atom: 0
Symmetry: Pm-3m, No. 221

a b c (Å): 5.3095 5.3095 5.3095
angles (deg): 90.00 90.00 90.00
Fractional positions:
Zn1 0.5000 0.5000 0.5000
Sn1 0.0000 0.5000 0.0000
Sn2 0.0000 0.0000 0.5000
Sn3 0.5000 0.0000 0.0000
Ti1 0.0000 0.0000 0.0000

---

# 14
## TiZnSn2 (PBE-GGA)

Data for a geometry-optimized TiZnSn2 structure.

Properties
Fermi-level density of states, states/eV/f.u.: 3.9
E, eV/atom: -4.35
Symmetry: P4/mmm, No. 123

a b c (Å): 3.7048 3.7048 5.9333
angles (deg): 90.00 90.00 90.00
Fractional positions:
Zn1 0.5000 0.5000 0.5000
Sn1 0.0000 0.0000 0.7546
Sn2 0.0000 0.0000 0.2454
Ti1 0.5000 0.5000 0.0000

---

# 15
## Ti4Zn3Sn (PBE-GGA)

Data for a geometry-optimized Ti4Zn3Sn structure.

Properties
Fermi-level density of states, states/eV/f.u.: 6.4
E, eV/atom: -5.14
Symmetry: Pmma, No. 51

a b c (Å): 4.8947 5.8207 9.2653
angles (deg): 90.00 90.00 90.00
Last column: magnetic moment on the atom in μB.
Fractional positions:
Zn1 0.0000 0.0000 0.0000  -0.01
Zn2 0.0000 0.0000 0.5000  -0.01
Zn3 0.6625 0.0000 0.7500  0.00
Zn4 0.3375 0.0000 0.2500  0.00
Zn5 0.6433 0.5000 0.7500  0.00
Zn6 0.3567 0.5000 0.2500  0.00
Sn1 0.0000 0.5000 0.0000  -0.01
Sn2 0.0000 0.5000 0.5000  -0.01
Ti1 0.5000 0.7601 0.0000  0.41
Ti2 0.5000 0.7601 0.5000  0.41
Ti3 0.5000 0.2399 0.0000  0.41
Ti4 0.5000 0.2399 0.5000  0.41
Ti5 0.1597 0.7607 0.7500  0.25
Ti6 0.8403 0.7607 0.2500  0.25
Ti7 0.8403 0.2393 0.2500  0.25
Ti8 0.1597 0.2393 0.7500  0.25

---

# 16
## TiZnSn2 (PBE-GGA)

Data for a geometry-optimized TiZnSn2 structure.

Properties
Fermi-level density of states, states/eV/f.u.: 3.6
E, eV/atom: -3.94
Symmetry: R-3m, No. 166

a b c (Å): 3.2422 3.2422 10.1957
angles (deg): 80.85 80.85 60.00
Last column: magnetic moment on the atom in μB.
Fractional positions:
Zn1 0.5000 0.5000 0.5000  0.00
Sn1 0.0926 0.0926 0.7221  0.00
Sn2 0.9074 0.9074 0.2779  0.00
Ti1 0.0000 0.0000 0.0000  0.22

---

# 17
## Ti12Zn3Sn (PBE-GGA)

Data for a geometry-optimized Ti12Zn3Sn structure.

Properties
Fermi-level density of states, states/eV/f.u.: 13.3
E, eV/atom: -6.57
Symmetry: Pmmm, No. 47

a b c (Å): 5.1025 5.1066 10.2046
angles (deg): 90.00 90.00 90.00
Fractional positions:
Ti1 0.5000 0.0000 0.3694
Ti2 0.5000 0.0000 0.8771
Ti3 0.7506 0.5000 0.0000
Ti4 0.7433 0.5000 0.5000
Ti5 0.0000 0.7475 0.2441
Ti6 0.0000 0.7475 0.7559
Ti7 0.5000 0.0000 0.1229
Ti8 0.5000 0.0000 0.6306
Ti9 0.2494 0.5000 0.0000
Ti10 0.2567 0.5000 0.5000
Ti11 0.0000 0.2525 0.2441
Ti12 0.0000 0.2525 0.7559
Zn1 0.5000 0.5000 0.2498
Zn2 0.5000 0.5000 0.7502
Zn3 0.0000 0.0000 0.0000
Sn1 0.0000 0.0000 0.5000

---

# 18
## Ti6ZnSn (PBE-GGA)

Data for a geometry-optimized Ti6ZnSn structure.

Properties
Fermi-level density of states, states/eV/f.u.: 8.5
E, eV/atom: -6.78
Symmetry: P-6m2, No. 187

a b c (Å): 4.7221 5.7999 5.7999
angles (deg): 119.99 90.00 90.00
Fractional positions:
Ti1 0.0000 0.0851 0.4176
Ti2 0.0000 0.5824 0.9149
Ti3 0.0000 0.5824 0.4176
Ti4 0.5000 0.4167 0.0834
Ti5 0.5000 0.9166 0.5833
Ti6 0.5000 0.9166 0.0834
Zn1 0.5000 0.4167 0.5833
Sn1 0.0000 0.0833 0.9167

---

# 19
## Ti6Zn5Sn (PBE-GGA)

Data for a geometry-optimized Ti6Zn5Sn structure.

Properties
Fermi-level density of states, states/eV/f.u.: 13.0
E, eV/atom: -5.03
Symmetry: P2/m, No. 10

a b c (Å): 4.0288 7.9196 6.3843
angles (deg): 90.00 71.71 90.00
Last column: magnetic moment on the atom in μB.
Fractional positions:
Zn1 0.6670 0.5000 0.6659  0.00
Zn2 0.3269 0.0000 0.3468  0.00
Zn3 0.0000 0.5000 0.0000  0.00
Zn4 0.6731 0.0000 0.6532  0.00
Zn5 0.3330 0.5000 0.3341  0.00
Sn1 0.0000 0.0000 0.0000  -0.01
Ti1 0.8316 0.7440 0.3370  0.17
Ti2 0.8316 0.2560 0.3370  0.17
Ti3 0.5000 0.2602 0.0000  0.16
Ti4 0.5000 0.7398 0.0000  0.16
Ti5 0.1684 0.7440 0.6630  0.17
Ti6 0.1684 0.2560 0.6630  0.17

---

# 20
## Ti3ZnSn (PBE-GGA)

Data for a geometry-optimized Ti3ZnSn structure.

Properties
Fermi-level density of states, states/eV/f.u.: 5.2
Offset from the most stable computed form, meV/atom: 0
Symmetry: P6_3/mmc, No. 194

a b c (Å): 5.1401 6.4235 6.4235
angles (deg): 119.99 90.00 90.00
Fractional positions:
Ti1 0.2500 0.8055 0.1945
Ti2 0.7500 0.1945 0.8055
Ti3 0.2500 0.8055 0.6112
Ti4 0.7500 0.1945 0.3888
Ti5 0.2500 0.3888 0.1945
Ti6 0.7500 0.6112 0.8055
Zn1 0.0000 0.0000 0.0000
Zn2 0.5000 0.0000 0.0000
Sn1 0.2500 0.3334 0.6666
Sn2 0.7500 0.6666 0.3334